LiCo2Au | SCAN | PBEsol geometry

Output
Space group ... C2/m (12)
ΔH_f (0 K) ... 0.01 eV per atom

a = 4.8951 Å, b = 9.0223 Å, c = 2.5734 Å
α = 90.00°, β = 118.10°, γ = 90.00°
Closest atoms and distances in Å follow each position.
Atoms (fractional coordinates):
1 Li 0.0000 0.0000 0.0000  4 Au 2.45-2.58, 2 Li 2.57, 4 Co 2.60
2 Li 0.5000 0.5000 0.0000  4 Au 2.45-2.58, 2 Li 2.57, 4 Co 2.60
3 Co 0.2500 0.2500 0.5000  6 Co 2.45-2.58, 2 Li 2.60, 2 Au 2.60
4 Co 0.2500 0.7500 0.5000  6 Co 2.45-2.58, 2 Li 2.60, 2 Au 2.60
5 Co 0.7500 0.2500 0.5000  6 Co 2.45-2.58, 2 Li 2.60, 2 Au 2.60
6 Co 0.7500 0.7500 0.5000  6 Co 2.45-2.58, 2 Li 2.60, 2 Au 2.60
7 Au 0.0000 0.5000 0.0000  4 Li 2.45-2.58, 2 Au 2.57, 4 Co 2.60
8 Au 0.5000 0.0000 0.0000  4 Li 2.45-2.58, 2 Au 2.57, 4 Co 2.60